Run 1
{
  "formula": "Pm6Dy2Tl",
  "functional": "GGA-PBE",
  "state": "optimized geometry",
  "lattice_angstrom": [[-4.4940, 4.5179, 0.4177], [-5.4980, -9.8564, -1.5983], [-3.1100, -8.2923, 7.1762]],
  "species": ["Dy", "Dy", "Dy", "Dy", "Tl", "Tl", "Pm", "Pm", "Pm", "Pm", "Pm", "Pm", "Pm", "Pm", "Pm", "Pm", "Pm", "Pm"],
  "frac_coords": [[0.0801, 0.6726, 0.8273], [0.5801, 0.8273, 0.6726], [0.4199, 0.1727, 0.3274], [0.9199, 0.3274, 0.1727], [0.7500, 0.7509, 0.2491], [0.2500, 0.2491, 0.7509], [0.2838, 0.4927, 0.3487], [0.4183, 0.4186, 0.9188], [0.9183, 0.9188, 0.4186], [0.2162, 0.6513, 0.5073], [0.0594, 0.8478, 0.9932], [0.0817, 0.0812, 0.5814], [0.9406, 0.1522, 0.0068], [0.4406, 0.0068, 0.1522], [0.7162, 0.5073, 0.6513], [0.7838, 0.3487, 0.4927], [0.5594, 0.9932, 0.8478], [0.5817, 0.5814, 0.0812]]
}



Run 2
{
  "formula": "Pm6Dy2Tl",
  "functional": "GGA-PBE",
  "state": "optimized geometry",
  "lattice_angstrom": [[3.5116, 0.0000, -0.1643], [0.0000, 9.9101, 0.0000], [-1.3656, -4.9551, 8.8043]],
  "species": ["Pm", "Pm", "Pm", "Pm", "Pm", "Pm", "Dy", "Dy", "Tl"],
  "frac_coords": [[0.8325, 0.6502, 0.6667], [0.5000, 0.7001, 0.0000], [0.5000, 0.2999, 0.0000], [0.1675, 0.3498, 0.3333], [0.8325, 0.0165, 0.6667], [0.1675, 0.9835, 0.3333], [0.6657, 0.6643, 0.3286], [0.3343, 0.3357, 0.6714], [0.0000, 0.0000, 0.0000]]
}



What is the stability order? It is run 1, run 2, from most stable to least stable.